Al3Te after structural relaxation, computed with PBE.

Cell lengths 7.6694, 7.4646, 5.9891 Å; angles 90.00, 90.00, 90.00 degrees
Closest atoms and distances in Å follow each position.
Positions (direct):
Al (0.0572, 0.2500, 0.0865)  6 Al 2.72-2.91, 1 Te 2.80
Al (0.2316, 0.5429, 0.8558)  3 Al 2.72-2.91, 2 Te 2.99-3.05
Al (0.2316, 0.9571, 0.8558)  3 Al 2.72-2.91, 2 Te 2.99-3.05
Al (0.2684, 0.0429, 0.3558)  3 Al 2.72-2.91, 2 Te 2.99-3.05
Al (0.2684, 0.4571, 0.3558)  3 Al 2.72-2.91, 2 Te 2.99-3.05
Al (0.4428, 0.7500, 0.5865)  6 Al 2.72-2.91, 1 Te 2.80
Al (0.5572, 0.2500, 0.4135)  6 Al 2.72-2.91, 1 Te 2.80
Al (0.7316, 0.5429, 0.6442)  3 Al 2.72-2.91, 2 Te 2.99-3.05
Al (0.7316, 0.9571, 0.6442)  3 Al 2.72-2.91, 2 Te 2.99-3.05
Al (0.7684, 0.0429, 0.1442)  3 Al 2.72-2.91, 2 Te 2.99-3.05
Al (0.7684, 0.4571, 0.1442)  3 Al 2.72-2.91, 2 Te 2.99-3.05
Al (0.9428, 0.7500, 0.9135)  6 Al 2.72-2.91, 1 Te 2.80
Te (0.0078, 0.2500, 0.6232)  7 Al 2.80-3.11
Te (0.4922, 0.7500, 0.1232)  7 Al 2.80-3.11
Te (0.5078, 0.2500, 0.8768)  7 Al 2.80-3.11
Te (0.9922, 0.7500, 0.3768)  7 Al 2.80-3.11

Values from the calculation:
Space group: Pnma, No. 62
Raw total energy in eV/atom: -3.52
Relative energy among the computed polymorphs in meV/atom: 23
Energy relative to the elements, uncorrected in eV per atom: 0.07
Calculated volume in Å³/atom: 21.429

***

Sc2BeSi2 after structural relaxation, computed with PBE.

Cell lengths 6.2967, 6.2967, 4.1020 Å; angles 90.00, 90.00, 90.00 degrees
Closest atoms and distances in Å follow each position.
Positions (direct):
Sc (0.1732, 0.3268, 0.0000)  6 Si 2.68-2.82
Sc (0.3268, 0.8268, 0.0000)  6 Si 2.68-2.82
Sc (0.6732, 0.1732, 0.0000)  6 Si 2.68-2.82
Sc (0.8268, 0.6732, 0.0000)  6 Si 2.68-2.82
Be (0.0000, 0.0000, 0.5000)  4 Si 2.46
Be (0.5000, 0.5000, 0.5000)  4 Si 2.46
Si (0.1323, 0.6323, 0.5000)  1 Si 2.36, 2 Be 2.46
Si (0.3677, 0.1323, 0.5000)  1 Si 2.36, 2 Be 2.46
Si (0.6323, 0.8677, 0.5000)  1 Si 2.36, 2 Be 2.46
Si (0.8677, 0.3677, 0.5000)  1 Si 2.36, 2 Be 2.46

Values from the calculation:
Space group: P4/mbm, No. 127
Raw total energy in eV/atom: -6.03
Relative energy among the computed polymorphs in meV/atom: 63
Energy relative to the elements, uncorrected in eV per atom: -0.58
Calculated volume in Å³/atom: 16.264

***

Nb2Tl2AgTe6 after structural relaxation, computed with PBE.

Cell lengths 7.2403, 7.2403, 8.5050 Å; angles 98.41, 98.41, 124.24 degrees
Closest atoms and distances in Å follow each position.
Positions (direct):
Nb (0.1905, 0.8095, 0.0000)  6 Te 2.74-2.97
Nb (0.8095, 0.1905, 0.0000)  6 Te 2.74-2.97
Tl (0.3583, 0.6417, 0.5000)  6 Te 3.36-3.42, 1 Tl 3.63
Tl (0.6417, 0.3583, 0.5000)  6 Te 3.36-3.42, 1 Tl 3.63
Ag (0.5000, 0.5000, 0.0000)  6 Te 2.78-3.11
Te (0.0605, 0.4127, 0.7800)  2 Nb 2.74-2.82
Te (0.2126, 0.2126, 0.1725)  1 Ag 2.78, 2 Nb 2.97
Te (0.4127, 0.0605, 0.7800)  2 Nb 2.74-2.82
Te (0.5873, 0.9395, 0.2200)  2 Nb 2.74-2.82
Te (0.7874, 0.7874, 0.8275)  1 Ag 2.78, 2 Nb 2.97
Te (0.9395, 0.5873, 0.2200)  2 Nb 2.74-2.82

Values from the calculation:
Space group: C2/m, No. 12
Raw total energy in eV/atom: -4.46
Energy relative to the elements, uncorrected in eV per atom: -0.23
Calculated volume in Å³/atom: 31.827

***

ThCd3Pd12 after structural relaxation, computed with PBE.

Cell lengths 4.1353, 4.1353, 15.9107 Å; angles 90.00, 90.00, 90.00 degrees
Closest atoms and distances in Å follow each position.
Positions (direct):
Th (0.0000, 0.0000, 0.0000)  12 Pd 2.92-2.94
Cd (0.0000, 0.0000, 0.2576)  12 Pd 2.83-2.92
Cd (0.0000, 0.0000, 0.5000)  12 Pd 2.83-2.92
Cd (0.0000, 0.0000, 0.7424)  12 Pd 2.83-2.92
Pd (0.0000, 0.5000, 0.1315)  8 Pd 2.86-2.94, 2 Cd 2.88, 2 Th 2.94
Pd (0.0000, 0.5000, 0.3790)  8 Pd 2.83-2.92, 4 Cd 2.83
Pd (0.0000, 0.5000, 0.6210)  8 Pd 2.83-2.92, 4 Cd 2.83
Pd (0.0000, 0.5000, 0.8685)  8 Pd 2.86-2.94, 2 Cd 2.88, 2 Th 2.94
Pd (0.5000, 0.0000, 0.1315)  8 Pd 2.86-2.94, 2 Cd 2.88, 2 Th 2.94
Pd (0.5000, 0.0000, 0.3790)  8 Pd 2.83-2.92, 4 Cd 2.83
Pd (0.5000, 0.0000, 0.6210)  8 Pd 2.83-2.92, 4 Cd 2.83
Pd (0.5000, 0.0000, 0.8685)  8 Pd 2.86-2.94, 2 Cd 2.88, 2 Th 2.94
Pd (0.5000, 0.5000, 0.0000)  4 Th 2.92, 8 Pd 2.94
Pd (0.5000, 0.5000, 0.2559)  8 Pd 2.85-2.86, 4 Cd 2.92
Pd (0.5000, 0.5000, 0.5000)  8 Pd 2.83, 4 Cd 2.92
Pd (0.5000, 0.5000, 0.7441)  8 Pd 2.85-2.86, 4 Cd 2.92

Values from the calculation:
Space group: P4/mmm, No. 123
Raw total energy in eV/atom: -4.96
Energy relative to the elements in eV/atom: -0.427
Calculated volume in Å³/atom: 17.005

***

SrIn2Se after structural relaxation, computed with PBE.

Cell lengths 6.1974, 6.2146, 12.6221 Å; angles 90.00, 90.00, 90.00 degrees
Closest atoms and distances in Å follow each position.
Positions (direct):
Sr (0.0000, 0.0000, 0.0000)  4 Se 3.10-3.11
Sr (0.0000, 0.5000, 0.5000)  4 Se 3.10-3.11
Sr (0.5000, 0.0000, 0.5000)  4 Se 3.10-3.11
Sr (0.5000, 0.5000, 0.0000)  4 Se 3.10-3.11
In (0.0000, 0.2500, 0.2500)  4 In 3.10-3.11
In (0.0000, 0.2500, 0.7500)  4 In 3.10-3.11
In (0.0000, 0.7500, 0.2500)  4 In 3.10-3.11
In (0.0000, 0.7500, 0.7500)  4 In 3.10-3.11
In (0.5000, 0.2500, 0.2500)  4 In 3.10-3.11
In (0.5000, 0.2500, 0.7500)  4 In 3.10-3.11
In (0.5000, 0.7500, 0.2500)  4 In 3.10-3.11
In (0.5000, 0.7500, 0.7500)  4 In 3.10-3.11
Se (0.0000, 0.0000, 0.5000)  4 Sr 3.10-3.11
Se (0.0000, 0.5000, 0.0000)  4 Sr 3.10-3.11
Se (0.5000, 0.0000, 0.0000)  4 Sr 3.10-3.11
Se (0.5000, 0.5000, 0.5000)  4 Sr 3.10-3.11

Values from the calculation:
Space group: Fmmm, No. 69
Raw total energy in eV/atom: -3.40
Energy relative to the elements, uncorrected in eV per atom: -0.74
Calculated volume in Å³/atom: 30.383

***

V4Pd5Pt2 after structural relaxation, computed with PBE.

Cell lengths 9.4950, 9.4950, 9.4950 Å; angles 163.49, 134.02, 49.18 degrees
Closest atoms and distances in Å follow each position.
Positions (direct):
V (0.0901, 0.0901, 0.0000)  1 Pt 2.45, 6 V 2.55-2.73, 4 Pd 2.66
V (0.2006, 0.5000, 0.7006)  4 Pd 2.54-2.61, 6 V 2.55-2.73
V (0.7994, 0.5000, 0.2994)  4 Pd 2.54-2.61, 6 V 2.55-2.73
V (0.9099, 0.9099, 0.0000)  1 Pt 2.45, 6 V 2.55-2.73, 4 Pd 2.66
Pd (0.1397, 0.3571, 0.7826)  3 V 2.54-2.66, 1 Pt 2.70, 2 Pd 2.73
Pd (0.4255, 0.6429, 0.7826)  3 V 2.54-2.66, 1 Pt 2.70, 2 Pd 2.73
Pd (0.5000, 0.0000, 0.5000)  4 V 2.61, 2 Pd 2.73
Pd (0.5745, 0.3571, 0.2174)  3 V 2.54-2.66, 1 Pt 2.70, 2 Pd 2.73
Pd (0.8603, 0.6429, 0.2174)  3 V 2.54-2.66, 1 Pt 2.70, 2 Pd 2.73
Pt (0.2320, 0.2320, 0.0000)  1 V 2.45, 2 Pd 2.70, 2 Pt 2.73
Pt (0.7680, 0.7680, 0.0000)  1 V 2.45, 2 Pd 2.70, 2 Pt 2.73

Values from the calculation:
Space group: Immm, No. 71
Raw total energy in eV/atom: -6.73
Energy relative to the elements in eV/atom: 0.046
Calculated volume in Å³/atom: 15.869

***

PrHoCuPt after structural relaxation, computed with PBE.

Cell lengths 4.4324, 3.8593, 10.8748 Å; angles 90.00, 90.00, 90.00 degrees
Closest atoms and distances in Å follow each position.
Positions (direct):
Pr (0.0000, 0.0000, 0.0000)  4 Cu 3.03, 3 Pt 3.03-3.08
Pr (0.0000, 0.5000, 0.5000)  4 Cu 3.03, 3 Pt 3.03-3.08
Ho (0.5000, 0.0000, 0.7232)  3 Cu 2.99-3.16, 4 Pt 3.00
Ho (0.5000, 0.5000, 0.2232)  3 Cu 2.99-3.16, 4 Pt 3.00
Cu (0.5000, 0.0000, 0.4328)  2 Pt 2.78, 2 Ho 2.99, 4 Pr 3.03
Cu (0.5000, 0.5000, 0.9328)  2 Pt 2.78, 2 Ho 2.99, 4 Pr 3.03
Pt (0.0000, 0.0000, 0.2790)  2 Cu 2.78, 4 Ho 3.00, 3 Pr 3.03-3.08
Pt (0.0000, 0.5000, 0.7790)  2 Cu 2.78, 4 Ho 3.00, 3 Pr 3.03-3.08

Values from the calculation:
Space group: Amm2, No. 38
Raw total energy in eV/atom: -5.60
Relative energy among the computed polymorphs in meV/atom: 0
Energy relative to the elements in eV/atom: -0.725
Calculated volume in Å³/atom: 23.253

***

Cd2In after structural relaxation, computed with PBE.

Cell lengths 10.3859, 4.7699, 6.1690 Å; angles 90.00, 107.75, 90.00 degrees
Closest atoms and distances in Å follow each position.
Positions (direct):
Cd (0.0000, 0.0000, 0.0000)  6 Cd 3.08-3.31, 6 In 3.25-3.36
Cd (0.0000, 0.0000, 0.5000)  8 Cd 3.08-3.30, 4 In 3.26
Cd (0.1704, 0.5000, 0.3390)  5 In 3.08-3.33, 7 Cd 3.22-3.31
Cd (0.3296, 0.0000, 0.6610)  5 In 3.08-3.33, 7 Cd 3.22-3.31
Cd (0.5000, 0.5000, 0.0000)  6 Cd 3.08-3.31, 6 In 3.25-3.36
Cd (0.5000, 0.5000, 0.5000)  8 Cd 3.08-3.30, 4 In 3.26
Cd (0.6704, 0.0000, 0.3390)  5 In 3.08-3.33, 7 Cd 3.22-3.31
Cd (0.8296, 0.5000, 0.6610)  5 In 3.08-3.33, 7 Cd 3.22-3.31
In (0.1599, 0.5000, 0.8339)  10 Cd 3.08-3.36, 2 In 3.32
In (0.3401, 0.0000, 0.1661)  10 Cd 3.08-3.36, 2 In 3.32
In (0.6599, 0.0000, 0.8339)  10 Cd 3.08-3.36, 2 In 3.32
In (0.8401, 0.5000, 0.1661)  10 Cd 3.08-3.36, 2 In 3.32

Values from the calculation:
Space group: C2/m, No. 12
Raw total energy in eV/atom: -1.50
Energy relative to the elements in eV/atom: 0.021
Calculated volume in Å³/atom: 24.256

***

Tb6PuSc2 after structural relaxation, computed with PBE.

Cell lengths 7.4887, 7.4887, 7.4887 Å; angles 57.18, 57.18, 57.18 degrees
Closest atoms and distances in Å follow each position.
Positions (direct):
Tb (0.0059, 0.4971, 0.4971)  1 Pu 2.94
Tb (0.2889, 0.2889, 0.8400)  1 Pu 2.77
Tb (0.2889, 0.8400, 0.2889)  1 Pu 2.77
Tb (0.4971, 0.0059, 0.4971)  1 Pu 2.94
Tb (0.4971, 0.4971, 0.0059)  1 Pu 2.94
Tb (0.8400, 0.2889, 0.2889)  1 Pu 2.77
Pu (0.5569, 0.5569, 0.5569)  6 Tb 2.77-2.94
Sc (0.8165, 0.8165, 0.8165)  1 Sc 3.27, 9 Tb 3.51-3.60
Sc (0.9913, 0.9913, 0.9913)  1 Sc 3.27, 9 Tb 3.34-3.59

Values from the calculation:
Space group: R3m, No. 160
Raw total energy in eV/atom: -5.71
Energy relative to the elements in eV/atom: 0.379
Calculated volume in Å³/atom: 30.853

***

Ho2GaCo after structural relaxation, computed with PBE.

Cell lengths 3.4148, 3.4148, 7.0683 Å; angles 90.00, 90.00, 90.00 degrees
Closest atoms and distances in Å follow each position.
Positions (direct):
Ho (0.0000, 0.0000, 0.2296)  4 Co 2.91, 4 Ga 3.08, 1 Ho 3.25
Ho (0.0000, 0.0000, 0.7704)  4 Co 2.91, 4 Ga 3.08, 1 Ho 3.25
Ga (0.5000, 0.5000, 0.5000)  8 Ho 3.08, 4 Ga 3.41
Co (0.5000, 0.5000, 0.0000)  8 Ho 2.91

Values from the calculation:
Space group: P4/mmm, No. 123
Raw total energy in eV/atom: -5.21
Energy relative to the elements in eV/atom: -0.390
Calculated volume in Å³/atom: 20.606

***

ZrFeOs2 after structural relaxation, computed with PBE.

Cell lengths 3.1763, 3.1763, 6.2236 Å; angles 90.00, 90.00, 90.00 degrees
Closest atoms and distances in Å follow each position.
Positions (direct):
Zr (0.0000, 0.0000, 0.0000)  8 Os 2.82, 2 Fe 3.11
Fe (0.0000, 0.0000, 0.5000)  8 Os 2.65
Os (0.5000, 0.5000, 0.2736)  4 Fe 2.65, 1 Os 2.82, 4 Zr 2.82
Os (0.5000, 0.5000, 0.7264)  4 Fe 2.65, 1 Os 2.82, 4 Zr 2.82

Values from the calculation:
Space group: P4/mmm, No. 123
Raw total energy in eV/atom: -9.87
Relative energy among the computed polymorphs in meV/atom: 0
Energy relative to the elements in eV/atom: -0.005
Calculated volume in Å³/atom: 15.697

***

NaCaTl5 after structural relaxation, computed with PBE.

Cell lengths 5.8110, 8.5026, 12.2680 Å; angles 90.00, 90.00, 90.00 degrees
Closest atoms and distances in Å follow each position.
Positions (direct):
Na (0.0000, 0.0000, 0.0000)  6 Tl 2.77-2.98
Na (0.5000, 0.5000, 0.5000)  6 Tl 2.77-2.98
Ca (0.0000, 0.0000, 0.5000)  6 Tl 3.15-3.26
Ca (0.5000, 0.5000, 0.0000)  6 Tl 3.15-3.26
Tl (0.0000, 0.0000, 0.2430)  1 Na 2.98, 1 Ca 3.15
Tl (0.0000, 0.0000, 0.7570)  1 Na 2.98, 1 Ca 3.15
Tl (0.0000, 0.3256, 0.0000)  1 Na 2.77, 1 Tl 2.97
Tl (0.0000, 0.5000, 0.5000)  2 Na 2.91
Tl (0.0000, 0.6744, 0.0000)  1 Na 2.77, 1 Tl 2.97
Tl (0.5000, 0.0000, 0.0000)  2 Na 2.91
Tl (0.5000, 0.1744, 0.5000)  1 Na 2.77, 1 Tl 2.97
Tl (0.5000, 0.5000, 0.2570)  1 Na 2.98, 1 Ca 3.15
Tl (0.5000, 0.5000, 0.7430)  1 Na 2.98, 1 Ca 3.15
Tl (0.5000, 0.8256, 0.5000)  1 Na 2.77, 1 Tl 2.97

Values from the calculation:
Space group: Immm, No. 71
Raw total energy in eV/atom: -1.83
Relative energy among the computed polymorphs in meV/atom: 446
Energy relative to the elements in eV/atom: 0.338
Calculated volume in Å³/atom: 43.296